# CrSi2Te

Crystalline CrSi2Te at its relaxed geometry (GGA-PBE, Alexandria).

E_form (uncorrected) (eV per atom): 0.292

abc: 3.087 3.087 6.954
angles: 90.00 90.00 90.00
Space group P4/mmm (No. 123)
Inequivalent atoms, fractional coordinates:
Cr 0.000 0.000 0.000 (multiplicity 1)
Si 0.500 0.500 0.179 (multiplicity 2)
Te 0.000 0.000 0.500 (multiplicity 1)

=====

# Cr2SiTe

Crystalline Cr2SiTe at its relaxed geometry (GGA-PBE, Alexandria).

ΔE to the lowest computed polymorph (meV per atom): 429
E_form (uncorrected) (eV per atom): 0.609

abc: 4.025 4.025 16.775
angles: 90.00 90.00 90.00
Space group I-42d (No. 122)
Inequivalent atoms, fractional coordinates:
Cr 0.158 0.250 0.125 (multiplicity 8)
Si 0.000 0.000 0.000 (multiplicity 4)
Te 0.000 0.000 0.500 (multiplicity 4)

=====

# CrSiTe2

Crystalline CrSiTe2 at its relaxed geometry (GGA-PBE, Alexandria).

E_form (uncorrected) (eV per atom): 0.195

abc: 4.644 5.437 7.148
angles: 90.00 90.00 90.00
Space group Amm2 (No. 38)
Inequivalent atoms, fractional coordinates:
Cr 0.000 0.000 0.000 (multiplicity 2)
Si 0.500 0.000 0.161 (multiplicity 2)
Te 0.000 0.000 0.403 (multiplicity 2)
Te 0.500 0.000 0.775 (multiplicity 2)

=====

# Cr4SiTe

Crystalline Cr4SiTe at its relaxed geometry (GGA-PBE, Alexandria).

E_form (uncorrected) (eV per atom): 0.447

abc: 6.917 6.917 6.917
angles: 90.00 90.00 90.00
Space group F-43m (No. 216)
Inequivalent atoms, fractional coordinates:
Cr 0.124 0.124 0.124 (multiplicity 16)
Si 0.250 0.250 0.750 (multiplicity 4)
Te 0.000 0.000 0.500 (multiplicity 4)

=====

# CrSi2Te

Crystalline CrSi2Te at its relaxed geometry (GGA-PBE, Alexandria).

E_form (uncorrected) (eV per atom): 0.553

abc: 3.747 3.747 5.433
angles: 90.00 90.00 90.00
Space group P4/mmm (No. 123)
Inequivalent atoms, fractional coordinates:
Cr 0.000 0.000 0.000 (multiplicity 1)
Si 0.000 0.500 0.500 (multiplicity 2)
Te 0.500 0.500 0.000 (multiplicity 1)

=====

# CrSiTe3

Crystalline CrSiTe3 at its relaxed geometry (GGA-PBE, Alexandria).

ΔE to the lowest computed polymorph (meV per atom): 1361
E_form (uncorrected) (eV per atom): 1.177

abc: 5.160 5.160 5.160
angles: 90.00 90.00 90.00
Space group Pm-3m (No. 221)
Inequivalent atoms, fractional coordinates:
Cr 0.000 0.000 0.000 (multiplicity 1)
Si 0.500 0.500 0.500 (multiplicity 1)
Te 0.000 0.500 0.500 (multiplicity 3)

=====

# CrSiTe2

Crystalline CrSiTe2 at its relaxed geometry (GGA-PBE, Alexandria).

E_form (uncorrected) (eV per atom): 0.341

abc: 5.883 8.098 4.059
angles: 90.00 90.00 90.00
Space group Cmmm (No. 65)
Inequivalent atoms, fractional coordinates:
Cr 0.000 0.000 0.000 (multiplicity 2)
Si 0.000 0.500 0.000 (multiplicity 2)
Te 0.000 0.242 0.500 (multiplicity 4)

=====

# CrSi2Te

Crystalline CrSi2Te at its relaxed geometry (GGA-PBE, Alexandria).

E_form (uncorrected) (eV per atom): 0.406

abc: 5.386 5.515 10.163
angles: 90.00 90.00 90.00
Space group Fmmm (No. 69)
Inequivalent atoms, fractional coordinates:
Cr 0.000 0.000 0.000 (multiplicity 4)
Si 0.000 0.250 0.250 (multiplicity 8)
Te 0.000 0.000 0.500 (multiplicity 4)

=====

# CrSiTe2

Crystalline CrSiTe2 at its relaxed geometry (GGA-PBE, Alexandria).

E_form (uncorrected) (eV per atom): 0.092

abc: 7.904 3.467 7.173
angles: 90.00 99.35 90.00
Space group Cm (No. 8)
Inequivalent atoms, fractional coordinates:
Cr 0.000 0.000 0.000 (multiplicity 2)
Si 0.283 0.000 0.946 (multiplicity 2)
Te 0.227 0.500 0.233 (multiplicity 2)
Te 0.496 0.000 0.710 (multiplicity 2)

=====

# CrSi4Te

Crystalline CrSi4Te at its relaxed geometry (GGA-PBE, Alexandria).

E_form (uncorrected) (eV per atom): 0.593

abc: 7.417 7.417 7.417
angles: 90.00 90.00 90.00
Space group F-43m (No. 216)
Inequivalent atoms, fractional coordinates:
Cr 0.000 0.000 0.000 (multiplicity 4)
Si 0.125 0.125 0.625 (multiplicity 16)
Te 0.250 0.250 0.250 (multiplicity 4)

=====

# Cr2SiTe

Crystalline Cr2SiTe at its relaxed geometry (GGA-PBE, Alexandria).

ΔE to the lowest computed polymorph (meV per atom): 158
E_form (uncorrected) (eV per atom): 0.338

abc: 6.159 6.159 6.159
angles: 90.00 90.00 90.00
Space group Fm-3m (No. 225)
Inequivalent atoms, fractional coordinates:
Cr 0.250 0.250 0.250 (multiplicity 8)
Si 0.000 0.000 0.000 (multiplicity 4)
Te 0.000 0.000 0.500 (multiplicity 4)

=====

# CrSi2Te

Crystalline CrSi2Te at its relaxed geometry (GGA-PBE, Alexandria).

E_form (uncorrected) (eV per atom): 0.597

abc: 5.661 7.630 3.420
angles: 90.00 90.00 90.00
Space group Cmmm (No. 65)
Inequivalent atoms, fractional coordinates:
Cr 0.000 0.000 0.000 (multiplicity 2)
Si 0.250 0.250 0.500 (multiplicity 4)
Te 0.000 0.500 0.000 (multiplicity 2)

=====

# Cr2SiTe

Crystalline Cr2SiTe at its relaxed geometry (GGA-PBE, Alexandria).

ΔE to the lowest computed polymorph (meV per atom): 155
E_form (uncorrected) (eV per atom): 0.336

abc: 7.943 3.089 5.506
angles: 90.00 101.47 90.00
Space group C2/m (No. 12)
Inequivalent atoms, fractional coordinates:
Cr 0.246 0.000 0.155 (multiplicity 4)
Si 0.000 0.500 0.000 (multiplicity 2)
Te 0.000 0.000 0.500 (multiplicity 2)

=====

# CrSi2Te

Crystalline CrSi2Te at its relaxed geometry (GGA-PBE, Alexandria).

E_form (uncorrected) (eV per atom): 0.364

abc: 3.883 4.982 3.926
angles: 90.00 95.34 90.00
Space group P2/m (No. 10)
Inequivalent atoms, fractional coordinates:
Cr 0.000 0.000 0.000 (multiplicity 1)
Si 0.208 0.500 0.796 (multiplicity 2)
Te 0.500 0.000 0.500 (multiplicity 1)

=====

# Cr2SiTe

Crystalline Cr2SiTe at its relaxed geometry (GGA-PBE, Alexandria).

ΔE to the lowest computed polymorph (meV per atom): 21
E_form (uncorrected) (eV per atom): 0.201

abc: 3.162 3.414 11.666
angles: 90.00 90.00 90.00
Space group Imm2 (No. 44)
Inequivalent atoms, fractional coordinates:
Cr 0.000 0.000 0.000 (multiplicity 2)
Cr 0.000 0.500 0.292 (multiplicity 2)
Si 0.000 0.500 0.855 (multiplicity 2)
Te 0.000 0.000 0.607 (multiplicity 2)